Record 1
This record from the Alexandria database describes a relaxed Sm12Ho5Er2 crystal. The functional is PBE-GGA.

electronic total energy = -4.530 eV/atom
magnetic moment = 0.00 μB per atom
ΔH_f (0 K) = 0.14 eV per atom

```
data_Sm12Ho5Er2
_chemical_formula_sum 'Sm24 Ho10 Er4'
_cell_length_a 15.309
_cell_length_b 10.417
_cell_length_c 7.972
_cell_angle_alpha 90.00
_cell_angle_beta 92.78
_cell_angle_gamma 90.00
_symmetry_space_group_name_H-M 'C 1 2/m 1'
_symmetry_Int_Tables_number 12
loop_
_symmetry_equiv_pos_as_xyz
'x,y,z'
'-x,-y,-z'
'-x,y,-z'
'x,-y,z'
'x+1/2,y+1/2,z'
'-x+1/2,-y+1/2,-z'
'-x+1/2,y+1/2,-z'
'x+1/2,-y+1/2,z'
loop_
_atom_site_label
_atom_site_type_symbol
_atom_site_fract_x
_atom_site_fract_y
_atom_site_fract_z
Sm1 Sm 0.053 0.000 0.210
Sm2 Sm 0.106 0.226 0.887
Sm3 Sm 0.139 0.500 0.612
Sm4 Sm 0.189 0.270 0.294
Ho1 Ho 0.000 0.500 0.000
Ho2 Ho 0.154 0.000 0.590
Ho3 Ho 0.243 0.500 0.987
Er1 Er 0.000 0.239 0.500
```


Record 2
This record from the Alexandria database describes a relaxed ZnGe3B crystal. The functional is PBE-GGA.

electronic total energy = -3.695 eV/atom
magnetic moment = 0.00 μB per atom
ΔH_f (0 K) = 0.67 eV per atom

```
data_ZnGe3B
_chemical_formula_sum 'Zn1 Ge3 B1'
_cell_length_a 4.428
_cell_length_b 4.428
_cell_length_c 4.428
_cell_angle_alpha 90.00
_cell_angle_beta 90.00
_cell_angle_gamma 90.00
_symmetry_space_group_name_H-M 'P m -3 m'
_symmetry_Int_Tables_number 221
_symmetry_space_group_name_Hall '-P 4 2 3'
loop_
_atom_site_label
_atom_site_type_symbol
_atom_site_fract_x
_atom_site_fract_y
_atom_site_fract_z
Zn1 Zn 0.000 0.000 0.000
Ge1 Ge 0.000 0.500 0.500
B1 B 0.500 0.500 0.500
```


Record 3
This record from the Alexandria database describes a relaxed Pm4Nd5Ga4 crystal. The functional is PBE-GGA.

electronic total energy = -4.595 eV/atom
magnetic moment = 0.00 μB per atom
ΔH_f (0 K) = -0.37 eV per atom

```
data_Pm4Nd5Ga4
_chemical_formula_sum 'Pm8 Nd10 Ga8'
_cell_length_a 12.067
_cell_length_b 12.067
_cell_length_c 5.163
_cell_angle_alpha 90.00
_cell_angle_beta 90.00
_cell_angle_gamma 90.00
_symmetry_space_group_name_H-M 'I 4/m'
_symmetry_Int_Tables_number 87
_symmetry_space_group_name_Hall '-I 4'
loop_
_atom_site_label
_atom_site_type_symbol
_atom_site_fract_x
_atom_site_fract_y
_atom_site_fract_z
Pm1 Pm 0.093 0.375 0.000
Nd1 Nd 0.000 0.000 0.000
Nd2 Nd 0.110 0.185 0.500
Ga1 Ga 0.113 0.768 0.000
```


Record 4
This record from the Alexandria database describes a relaxed Ca2Ga3Au4 crystal. The functional is PBE-GGA.

electronic total energy = -3.492 eV/atom
magnetic moment = 0.00 μB per atom
ΔH_f (0 K) = -0.58 eV per atom

```
data_Ca2Ga3Au4
_chemical_formula_sum 'Ca8 Ga12 Au16'
_cell_length_a 5.918
_cell_length_b 15.855
_cell_length_c 7.844
_cell_angle_alpha 90.00
_cell_angle_beta 90.00
_cell_angle_gamma 90.00
_symmetry_space_group_name_H-M 'C m c e'
_symmetry_Int_Tables_number 64
_symmetry_space_group_name_Hall '-C 2ac 2'
loop_
_atom_site_label
_atom_site_type_symbol
_atom_site_fract_x
_atom_site_fract_y
_atom_site_fract_z
Ca1 Ca 0.000 0.107 0.093
Ga1 Ga 0.000 0.000 0.500
Ga2 Ga 0.250 0.228 0.750
Au1 Au 0.000 0.180 0.471
Au2 Au 0.250 0.057 0.750
```


Record 5
This record from the Alexandria database describes a relaxed LiPm4Pu3S8 crystal. The functional is PBE-GGA.

raw formation energy = -1.882 eV/atom
electronic total energy = -7.940 eV/atom
magnetic moment = 1.08 μB per atom

```
data_LiPm4Pu3S8
_chemical_formula_sum 'Li3 Pm12 Pu9 S24'
_cell_length_a 7.9781
_cell_length_b 7.9781
_cell_length_c 19.5238
_cell_angle_alpha 90.00
_cell_angle_beta 90.00
_cell_angle_gamma 120.00
_symmetry_space_group_name_H-M 'R -3 m'
_symmetry_Int_Tables_number 166
_symmetry_space_group_name_Hall '-R 3 2"'
loop_
_atom_site_label
_atom_site_type_symbol
_atom_site_fract_x
_atom_site_fract_y
_atom_site_fract_z
Li1 Li 0.0000 0.0000 0.0000
Pm1 Pm 0.0000 0.0000 0.5000
Pm2 Pm 0.0000 0.5000 0.5000
Pu1 Pu 0.0000 0.5000 0.0000
S1 S 0.0000 0.0000 0.2527
S2 S 0.0037 0.5019 0.7472
```


Record 6
This record from the Alexandria database describes a relaxed LuPaIr crystal. The functional is PBE-GGA.

electronic total energy = -7.889 eV/atom
magnetic moment = 0.00 μB per atom
ΔH_f (0 K) = -0.26 eV per atom

```
data_LuPaIr
_chemical_formula_sum 'Lu1 Pa1 Ir1'
_cell_length_a 4.6281
_cell_length_b 4.6281
_cell_length_c 3.6539
_cell_angle_alpha 90.00
_cell_angle_beta 90.00
_cell_angle_gamma 120.00
_symmetry_space_group_name_H-M 'P 3 m 1'
_symmetry_Int_Tables_number 156
loop_
_symmetry_equiv_pos_as_xyz
'x,y,z'
'-y,x-y,z'
'-x+y,-x,z'
'-y,-x,z'
'-x+y,y,z'
'x,x-y,z'
loop_
_atom_site_label
_atom_site_type_symbol
_atom_site_fract_x
_atom_site_fract_y
_atom_site_fract_z
Lu1 Lu 0.0000 0.0000 0.0000
Pa1 Pa 0.6667 0.3333 0.4305
Ir1 Ir 0.3333 0.6667 0.6997
```


Record 7
This record from the Alexandria database describes a relaxed HoSnN2 crystal. The functional is PBE-GGA.

raw formation energy = -0.459 eV/atom
electronic total energy = -6.767 eV/atom
magnetic moment = 0.00 μB per atom

```
data_HoSnN2
_chemical_formula_sum 'Ho3 Sn3 N6'
_cell_length_a 3.4619
_cell_length_b 3.4619
_cell_length_c 17.0621
_cell_angle_alpha 90.00
_cell_angle_beta 90.00
_cell_angle_gamma 120.00
_symmetry_space_group_name_H-M 'R -3 m'
_symmetry_Int_Tables_number 166
_symmetry_space_group_name_Hall '-R 3 2"'
loop_
_atom_site_label
_atom_site_type_symbol
_atom_site_fract_x
_atom_site_fract_y
_atom_site_fract_z
Ho1 Ho 0.0000 0.0000 0.0000
Sn1 Sn 0.0000 0.0000 0.5000
N1 N 0.0000 0.0000 0.2556
```


Record 8
This record from the Alexandria database describes a relaxed Nb3CdH3 crystal. The functional is PBE-GGA.

electronic total energy = -6.013 eV/atom
magnetic moment = 0.00 μB per atom

```
data_Nb3CdH3
_chemical_formula_sum 'Nb6 Cd2 H6'
_cell_length_a 5.509
_cell_length_b 5.509
_cell_length_c 5.509
_cell_angle_alpha 90.00
_cell_angle_beta 90.00
_cell_angle_gamma 90.00
_symmetry_space_group_name_H-M 'P m -3 n'
_symmetry_Int_Tables_number 223
_symmetry_space_group_name_Hall '-P 4n 2 3'
loop_
_atom_site_label
_atom_site_type_symbol
_atom_site_fract_x
_atom_site_fract_y
_atom_site_fract_z
Nb1 Nb 0.000 0.250 0.500
Cd1 Cd 0.000 0.000 0.000
H1 H 0.000 0.500 0.250
```